[1]
DFT (GGA-PBEsol) results for a relaxed Y2H16S3O20 crystal.

abc: 7.385 7.385 17.951
angles: 101.14 101.14 53.75
Element x y z (fractional)
Y 0.144 0.196 0.393
Y 0.196 0.144 0.893
Y 0.804 0.856 0.107
Y 0.856 0.804 0.607
H 0.032 0.861 0.348
H 0.139 0.968 0.152
H 0.168 0.808 0.957
H 0.192 0.832 0.543
H 0.200 0.251 0.245
H 0.208 0.506 0.985
H 0.251 0.200 0.745
H 0.282 0.701 0.161
H 0.291 0.467 0.496
H 0.299 0.718 0.339
H 0.305 0.363 0.804
H 0.325 0.657 0.606
H 0.343 0.675 0.894
H 0.363 0.305 0.304
H 0.467 0.291 0.996
H 0.494 0.792 0.515
H 0.506 0.208 0.485
H 0.533 0.709 0.004
H 0.637 0.695 0.696
H 0.657 0.325 0.106
H 0.675 0.343 0.394
H 0.695 0.637 0.196
H 0.701 0.282 0.661
H 0.709 0.533 0.504
H 0.718 0.299 0.839
H 0.749 0.800 0.255
H 0.792 0.494 0.015
H 0.800 0.749 0.755
H 0.808 0.168 0.457
H 0.832 0.192 0.043
H 0.861 0.032 0.848
H 0.968 0.139 0.652
S 0.180 0.248 0.090
S 0.248 0.180 0.590
S 0.335 0.665 0.750
S 0.665 0.335 0.250
S 0.752 0.820 0.410
S 0.820 0.752 0.910
O 0.051 0.223 0.017
O 0.087 0.421 0.580
O 0.119 0.199 0.154
O 0.119 0.480 0.103
O 0.122 0.702 0.712
O 0.132 0.834 0.144
O 0.166 0.868 0.356
O 0.199 0.119 0.654
O 0.202 0.709 0.563
O 0.223 0.051 0.517
O 0.257 0.261 0.799
O 0.261 0.257 0.299
O 0.291 0.798 0.937
O 0.298 0.878 0.788
O 0.326 0.358 0.960
O 0.358 0.326 0.460
O 0.421 0.087 0.080
O 0.430 0.503 0.809
O 0.480 0.119 0.603
O 0.497 0.570 0.691
O 0.503 0.430 0.309
O 0.520 0.881 0.397
O 0.570 0.497 0.191
O 0.579 0.913 0.920
O 0.642 0.674 0.540
O 0.674 0.642 0.040
O 0.702 0.122 0.212
O 0.709 0.202 0.063
O 0.739 0.743 0.701
O 0.743 0.739 0.201
O 0.777 0.949 0.483
O 0.798 0.291 0.437
O 0.801 0.881 0.346
O 0.834 0.132 0.644
O 0.868 0.166 0.856
O 0.878 0.298 0.288
O 0.881 0.520 0.897
O 0.881 0.801 0.846
O 0.913 0.579 0.420
O 0.949 0.777 0.983

Output
final energy = -6.05 eV per atom
total magnetization = 0.00 μB/f.u.
Fermi-level density of states = 0.000 states/eV/atom

---

[2]
DFT (GGA-PBEsol) results for a relaxed ZnH12S2O12 crystal.

abc: 6.378 6.627 6.871
angles: 101.68 96.33 94.92
Element x y z (fractional)
Zn 0.000 0.000 0.000
H 0.067 0.413 0.177
H 0.181 0.670 0.836
H 0.193 0.837 0.294
H 0.202 0.078 0.394
H 0.294 0.150 0.810
H 0.397 0.177 0.037
H 0.603 0.823 0.963
H 0.706 0.850 0.190
H 0.798 0.922 0.606
H 0.807 0.163 0.706
H 0.819 0.330 0.164
H 0.933 0.587 0.823
S 0.500 0.453 0.643
S 0.500 0.547 0.357
O 0.049 0.694 0.895
O 0.129 0.966 0.285
O 0.283 0.592 0.306
O 0.297 0.085 0.928
O 0.340 0.273 0.603
O 0.441 0.634 0.778
O 0.559 0.366 0.222
O 0.660 0.727 0.397
O 0.703 0.915 0.072
O 0.717 0.408 0.694
O 0.871 0.034 0.715
O 0.951 0.306 0.105

Output
final energy = -5.33 eV per atom
total magnetization = 0.00 μB/f.u.
Fermi-level density of states = 0.000 states/eV/atom

---

[3]
DFT (GGA-PBEsol) results for a relaxed ZnH2SO5 crystal.

abc: 5.145 5.145 7.493
angles: 106.67 106.67 98.73
Element x y z (fractional)
Zn 0.000 0.500 0.000
Zn 0.500 0.000 0.500
H 0.050 0.140 0.707
H 0.140 0.050 0.207
H 0.860 0.950 0.793
H 0.950 0.860 0.293
S 0.413 0.587 0.750
S 0.587 0.413 0.250
O 0.119 0.881 0.250
O 0.272 0.323 0.163
O 0.293 0.680 0.906
O 0.320 0.707 0.594
O 0.323 0.272 0.663
O 0.677 0.728 0.337
O 0.680 0.293 0.406
O 0.707 0.320 0.094
O 0.728 0.677 0.837
O 0.881 0.119 0.750

Output
final energy = -5.66 eV per atom
total magnetization = 0.00 μB/f.u.
Fermi-level density of states = 0.000 states/eV/atom

---

[4]
DFT (GGA-PBEsol) results for a relaxed ZnH2S2O8 crystal.

abc: 4.910 8.202 8.196
angles: 90.00 117.82 90.00
Element x y z (fractional)
Zn 0.000 0.000 0.000
Zn 0.000 0.500 0.500
H 0.445 0.021 0.666
H 0.445 0.479 0.166
H 0.555 0.521 0.834
H 0.555 0.979 0.334
S 0.333 0.681 0.287
S 0.333 0.819 0.787
S 0.667 0.181 0.213
S 0.667 0.319 0.713
O 0.070 0.637 0.315
O 0.070 0.863 0.815
O 0.307 0.646 0.728
O 0.307 0.854 0.228
O 0.315 0.584 0.121
O 0.315 0.916 0.621
O 0.370 0.150 0.051
O 0.370 0.350 0.551
O 0.630 0.650 0.449
O 0.630 0.850 0.949
O 0.685 0.084 0.379
O 0.685 0.416 0.879
O 0.693 0.146 0.772
O 0.693 0.354 0.272
O 0.930 0.137 0.185
O 0.930 0.363 0.685

Output
final energy = -5.85 eV per atom
total magnetization = 0.00 μB/f.u.
Fermi-level density of states = 0.000 states/eV/atom

---

[5]
DFT (GGA-PBEsol) results for a relaxed SbHO3 crystal.

abc: 3.887 3.887 3.887
angles: 90.00 90.00 90.00
Element x y z (fractional)
Sb 0.000 0.000 0.000
H 0.500 0.500 0.500
O 0.000 0.000 0.500
O 0.000 0.500 0.000
O 0.500 0.000 0.000

Output
final energy = -4.91 eV per atom
total magnetization = 0.36 μB/f.u.
Fermi-level density of states = 0.807 states/eV/atom

---

[6]
DFT (GGA-PBEsol) results for a relaxed SbHO3 crystal.

abc: 7.308 7.308 7.308
angles: 117.82 117.82 93.83
Element x y z (fractional)
Sb 0.000 0.000 0.000
Sb 0.000 0.000 0.500
Sb 0.000 0.500 0.000
Sb 0.500 0.000 0.500
H 0.183 0.433 0.750
H 0.433 0.183 0.250
H 0.567 0.817 0.750
H 0.817 0.567 0.250
O 0.064 0.314 0.127
O 0.064 0.936 0.750
O 0.085 0.335 0.750
O 0.314 0.064 0.627
O 0.314 0.686 0.250
O 0.335 0.085 0.250
O 0.665 0.915 0.750
O 0.686 0.314 0.750
O 0.686 0.936 0.373
O 0.915 0.665 0.250
O 0.936 0.064 0.250
O 0.936 0.686 0.873

Output
final energy = -5.90 eV per atom
total magnetization = 0.00 μB/f.u.

---

[7]
DFT (GGA-PBEsol) results for a relaxed SbH3O crystal.

abc: 3.424 3.424 3.424
angles: 90.00 90.00 90.00
Element x y z (fractional)
Sb 0.000 0.000 0.000
H 0.000 0.500 0.500
H 0.500 0.000 0.500
H 0.500 0.500 0.000
O 0.500 0.500 0.500

Output
final energy = -3.17 eV per atom
total magnetization = 0.00 μB/f.u.
Fermi-level density of states = 0.545 states/eV/atom

---

[8]
DFT (GGA-PBEsol) results for a relaxed SbHO2 crystal.

abc: 3.724 3.724 3.724
angles: 60.00 60.00 60.00
Element x y z (fractional)
Sb 0.000 0.000 0.000
H 0.500 0.500 0.500
O 0.250 0.250 0.250
O 0.750 0.750 0.750

Output
final energy = -4.81 eV per atom
total magnetization = 0.45 μB/f.u.
Fermi-level density of states = 0.328 states/eV/atom

---

Look up the total magnetization of the first one. 0.00 μB/f.u.